# DyHoSn2 PBE optimized geometry
# ΔE_f: -0.6075 eV/atom
data_DyHoSn2
_chemical_formula_sum 'Dy1 Ho1 Sn2'
_cell_length_a 4.883
_cell_length_b 4.883
_cell_length_c 4.405
_cell_angle_alpha 90.00
_cell_angle_beta 90.00
_cell_angle_gamma 90.00
_space_group_name_H-M_alt 'P 1'
_space_group_IT_number 1
_space_group_name_Hall 'P 1'
loop_
_atom_site_label
_atom_site_type_symbol
_atom_site_fract_x
_atom_site_fract_y
_atom_site_fract_z
_atom_site_occupancy
Dy1 Dy 0.000 0.000 0.000 1
Ho1 Ho 0.500 0.500 0.000 1
Sn1 Sn 0.000 0.500 0.500 1
Sn2 Sn 0.500 0.000 0.500 1

=====

# Ac3La2Sn4 PBE optimized geometry
# ΔE_f: -0.5105 eV/atom
# energy above the most stable polymorph in this dataset: 0.2416 eV/atom
data_Ac3La2Sn4
_chemical_formula_sum 'Ac6 La4 Sn8'
_cell_length_a 9.340
_cell_length_b 9.340
_cell_length_c 9.126
_cell_angle_alpha 90.00
_cell_angle_beta 90.00
_cell_angle_gamma 120.76
_space_group_name_H-M_alt 'P 1'
_space_group_IT_number 1
_space_group_name_Hall 'P 1'
loop_
_atom_site_label
_atom_site_type_symbol
_atom_site_fract_x
_atom_site_fract_y
_atom_site_fract_z
_atom_site_occupancy
Ac1 Ac 0.000 0.000 0.000 1
Ac2 Ac 0.032 0.468 0.250 1
Ac3 Ac 0.468 0.032 0.750 1
Ac4 Ac 0.500 0.500 0.500 1
Ac5 Ac 0.532 0.968 0.250 1
Ac6 Ac 0.968 0.532 0.750 1
La1 La 0.096 0.904 0.444 1
La2 La 0.404 0.596 0.944 1
La3 La 0.596 0.404 0.056 1
La4 La 0.904 0.096 0.556 1
Sn1 Sn 0.208 0.792 0.022 1
Sn2 Sn 0.243 0.257 0.250 1
Sn3 Sn 0.257 0.243 0.750 1
Sn4 Sn 0.292 0.708 0.522 1
Sn5 Sn 0.708 0.292 0.478 1
Sn6 Sn 0.743 0.757 0.250 1
Sn7 Sn 0.757 0.743 0.750 1
Sn8 Sn 0.792 0.208 0.978 1

=====

# Cs3BeSe PBE optimized geometry
# energy above the most stable polymorph in this dataset: 0.0000 eV/atom
data_Cs3BeSe
_chemical_formula_sum 'Cs3 Be1 Se1'
_cell_length_a 6.981
_cell_length_b 6.981
_cell_length_c 6.981
_cell_angle_alpha 90.00
_cell_angle_beta 90.00
_cell_angle_gamma 90.00
_space_group_name_H-M_alt 'P 1'
_space_group_IT_number 1
_space_group_name_Hall 'P 1'
loop_
_atom_site_label
_atom_site_type_symbol
_atom_site_fract_x
_atom_site_fract_y
_atom_site_fract_z
_atom_site_occupancy
Cs1 Cs 0.000 0.000 0.500 1
Cs2 Cs 0.000 0.500 0.000 1
Cs3 Cs 0.500 0.000 0.000 1
Be1 Be 0.500 0.500 0.500 1
Se1 Se 0.000 0.000 0.000 1

=====

One value per record, in order, for density of states at the Fermi level: 4.3 12.8 4.6 states/eV per cell.
One value per record, in order, for total DFT energy (no corrections): -19.62 -85.57 -9.62 eV for the cell shown.